No. 1
Below is a relaxed structure of Pm2Ga3Ru2, with properties calculated at the PBE level.

Output
The total energy comes out at -0.214 Ha/atom. The density of states at the Fermi level comes out at 3.89 states/eV/cell. As for the space-group type: No. 12. The energy of formation from the pure elements comes out at -0.53 eV/atom.

abc: 5.499 5.499 7.298
angles: 112.29 112.29 43.59
Fractional coordinates of all 7 atoms:
1 Pm 0.147 0.147 0.264
2 Pm 0.853 0.853 0.736
3 Ga 0.362 0.362 0.057
4 Ga 0.500 0.500 0.500
5 Ga 0.638 0.638 0.943
6 Ru 0.127 0.127 0.703
7 Ru 0.873 0.873 0.297

No. 2
Below is a relaxed structure of RbP2I, with properties calculated at the PBE level.

Output
The total energy comes out at -0.097 Ha/atom. For the offset from the most stable computed form, the calculation gives 0.000 eV/atom. The density of states at the Fermi level comes out at 2.56 states/eV/cell. As for the space-group type: No. 122. The formation energy (no corrections) comes out at 0.685 eV per atom.

abc: 7.153 7.153 7.153
angles: 108.45 108.45 111.54
Fractional coordinates of all 8 atoms:
1 Rb 0.000 0.000 0.000
2 Rb 0.750 0.250 0.500
3 P 0.217 0.125 0.592
4 P 0.375 0.783 0.908
5 P 0.533 0.625 0.408
6 P 0.875 0.467 0.092
7 I 0.250 0.750 0.500
8 I 0.500 0.500 0.000

No. 3
Below is a relaxed structure of Ho12ThAl3, with properties calculated at the PBE level.

Output
The total energy comes out at -0.173 Ha/atom. The density of states at the Fermi level comes out at 20.48 states/eV/cell. As for the space-group type: No. 123. The energy of formation from the pure elements comes out at -0.12 eV/atom.

abc: 4.788 4.788 19.379
angles: 90.00 90.00 90.00
Fractional coordinates of all 16 atoms:
1 Ho 0.000 0.000 0.000
2 Ho 0.000 0.000 0.243
3 Ho 0.000 0.000 0.500
4 Ho 0.000 0.000 0.757
5 Ho 0.000 0.500 0.122
6 Ho 0.000 0.500 0.366
7 Ho 0.000 0.500 0.634
8 Ho 0.000 0.500 0.878
9 Ho 0.500 0.000 0.122
10 Ho 0.500 0.000 0.366
11 Ho 0.500 0.000 0.634
12 Ho 0.500 0.000 0.878
13 Th 0.500 0.500 0.500
14 Al 0.500 0.500 0.000
15 Al 0.500 0.500 0.242
16 Al 0.500 0.500 0.758